DFT (PBE) results for a geometry-optimized Er2PuSi4 structure.

a = 3.8578 Å, b = 4.1901 Å, c = 17.4281 Å
α = 90.00°, β = 90.00°, γ = 90.00°
Closest atoms and distances in Å follow each position.
Space group Immm (No. 71)
One atom of each set of equivalent atoms:
Er 0.0000 0.0000 0.1836 x4  7 Si 2.91-2.93
Pu 0.0000 0.5000 0.5000 x2  12 Si 3.07-3.33
Si 0.0000 0.0000 0.3517 x4  2 Si 2.40
Si 0.0000 0.5000 0.0662 x4  3 Si 2.31-2.40

## Properties
final energy	-99.7	eV per cell

DFT (PBE) results for a geometry-optimized MgScSb2 structure.

a = 4.3861 Å, b = 5.5354 Å, c = 8.0633 Å
α = 90.00°, β = 90.00°, γ = 90.00°
Closest atoms and distances in Å follow each position.
Space group Cmmm (No. 65)
One atom of each set of equivalent atoms:
Mg 0.0000 0.0000 0.0000 x2  4 Sb 3.01
Sc 0.0000 0.0000 0.5000 x2  4 Sb 2.94
Sb 0.0000 0.5000 0.2563 x4  2 Sc 2.94, 2 Mg 3.01

## Properties
final energy	-35.5	eV per cell

DFT (PBE) results for a geometry-optimized Ca2Pm3Zn3 structure.

a = 3.6717 Å, b = 5.2915 Å, c = 23.3466 Å
α = 90.00°, β = 90.00°, γ = 90.00°
Closest atoms and distances in Å follow each position.
Space group Immm (No. 71)
One atom of each set of equivalent atoms:
Ca 0.0000 0.0000 0.2158 x4  2 Zn 3.14
Pm 0.0000 0.0000 0.0000 x2  8 Zn 3.09-3.22
Pm 0.0000 0.5000 0.1095 x4  6 Zn 3.15-3.22
Zn 0.0000 0.0000 0.5000 x2  8 Pm 3.15-3.22
Zn 0.0000 0.5000 0.3935 x4  6 Pm 3.09-3.22, 2 Ca 3.14

## Properties
energy of formation from the pure elements	-0.17	eV/atom

DFT (PBE) results for a geometry-optimized RbPaSeO2 structure.

a = 4.3829 Å, b = 4.3829 Å, c = 5.7801 Å
α = 90.00°, β = 90.00°, γ = 90.00°
Closest atoms and distances in Å follow each position.
Space group P4mm (No. 99)
One atom of each set of equivalent atoms:
Rb 0.0000 0.0000 0.0000 x1  4 O 3.12, 4 Se 3.16
Pa 0.5000 0.5000 0.4047 x1  4 O 2.19
Se 0.5000 0.5000 0.8900 x1  2 Pa 2.81-2.98
O 0.0000 0.5000 0.3835 x2  2 Pa 2.19

## Properties
final energy	-36.4	eV per cell

DFT (PBE) results for a geometry-optimized Rb8Hg3Au2 structure.

a = 10.5731 Å, b = 18.3600 Å, c = 6.5153 Å
α = 90.00°, β = 90.00°, γ = 90.00°
Closest atoms and distances in Å follow each position.
Space group Cmmm (No. 65)
One atom of each set of equivalent atoms:
Rb 0.0000 0.1066 0.0000 x4  2 Rb 3.80-3.91, 4 Hg 3.80-4.22, 2 Au 3.87
Rb 0.0000 0.3133 0.0000 x4  2 Au 3.68, 2 Hg 3.76, 1 Rb 3.80
Rb 0.2171 0.3780 0.5000 x8  2 Au 3.50-3.69, 1 Hg 3.74
Hg 0.0000 0.0000 0.5000 x2  8 Rb 3.74-3.80, 2 Au 4.05
Hg 0.1460 0.5000 0.0000 x4  1 Hg 3.09
Au 0.0000 0.2205 0.5000 x4  8 Rb 3.50-3.87

## Properties
energy of formation from the pure elements	-0.16	eV/atom

DFT (PBE) results for a geometry-optimized Cs2ThPb2O6 structure.

a = 6.6295 Å, b = 6.6295 Å, c = 21.6886 Å
α = 90.00°, β = 90.00°, γ = 120.00°
Closest atoms and distances in Å follow each position.
Space group R-3m (No. 166, hexagonal axes)
One atom of each set of equivalent atoms:
Cs 0.0000 0.0000 0.2436 x6  9 O 3.34-3.53
Th 0.0000 0.0000 0.5000 x3  6 O 2.30
Pb 0.0000 0.0000 0.0694 x6  3 O 2.09
O 0.0028 0.5014 0.2263 x18  1 Pb 2.09, 1 Th 2.30

## Properties
final energy	-197.5	eV per cell

Values of size of the total moment, in order: 5.218; 0.000; 0.000; 0.000; 0.000; 0.000, all in μB per formula unit.